Below is crystalline KNb2Cl11 at its relaxed geometry, with properties calculated at the PBE-GGA level.

N(E_F): 0.00 states/eV per cell
formation energy from raw total energies: -1.3599 eV/atom
energy: -4.33 eV per atom

Cell and atoms, written as CIF:
```
data_KNb2Cl11
_cell_length_a 7.245
_cell_length_b 7.354
_cell_length_c 18.240
_cell_angle_alpha 79.05
_cell_angle_beta 80.52
_cell_angle_gamma 89.39
_symmetry_space_group_name_H-M 'P -1'
_symmetry_Int_Tables_number 2
loop_
_symmetry_equiv_pos_as_xyz
'x,y,z'
'-x,-y,-z'
loop_
_atom_site_label
_atom_site_type_symbol
_atom_site_fract_x
_atom_site_fract_y
_atom_site_fract_z
_atom_site_occupancy
K1 K 0.246 0.249 0.498 1
Nb1 Nb 0.163 0.672 0.913 1
Nb2 Nb 0.309 0.821 0.355 1
Cl1 Cl 0.013 0.521 0.837 1
Cl2 Cl 0.069 0.589 0.370 1
Cl3 Cl 0.092 0.960 0.855 1
Cl4 Cl 0.093 0.059 0.336 1
Cl5 Cl 0.163 0.348 0.999 1
Cl6 Cl 0.217 0.808 0.494 1
Cl7 Cl 0.275 0.780 0.010 1
Cl8 Cl 0.396 0.824 0.227 1
Cl9 Cl 0.454 0.962 0.640 1
Cl10 Cl 0.455 0.627 0.852 1
Cl11 Cl 0.477 0.425 0.613 1
```

---

Below is crystalline KNb3Cl at its relaxed geometry, with properties calculated at the PBE-GGA level.

N(E_F): 6.74 states/eV per cell
ΔE to the lowest computed polymorph: 0 meV per atom
formation energy from raw total energies: 1.1677 eV/atom
energy: -5.46 eV per atom

Cell and atoms, written as CIF:
```
data_KNb3Cl
_cell_length_a 4.770
_cell_length_b 4.770
_cell_length_c 4.770
_cell_angle_alpha 90.00
_cell_angle_beta 90.00
_cell_angle_gamma 90.00
_symmetry_space_group_name_H-M 'P m -3 m'
_symmetry_Int_Tables_number 221
_symmetry_space_group_name_Hall '-P 4 2 3'
loop_
_atom_site_label
_atom_site_type_symbol
_atom_site_fract_x
_atom_site_fract_y
_atom_site_fract_z
_atom_site_occupancy
K1 K 0.000 0.000 0.000 1
Nb1 Nb 0.000 0.500 0.500 1
Cl1 Cl 0.500 0.500 0.500 1
```

---

Below is crystalline KNbCl3 at its relaxed geometry, with properties calculated at the PBE-GGA level.

N(E_F): 3.71 states/eV per cell
ΔE to the lowest computed polymorph: 0 meV per atom
formation energy from raw total energies: -1.3668 eV/atom
energy: -4.71 eV per atom

Cell and atoms, written as CIF:
```
data_KNbCl3
_cell_length_a 15.832
_cell_length_b 3.560
_cell_length_c 9.265
_cell_angle_alpha 90.00
_cell_angle_beta 103.07
_cell_angle_gamma 90.00
_symmetry_space_group_name_H-M 'C 1 2/m 1'
_symmetry_Int_Tables_number 12
loop_
_symmetry_equiv_pos_as_xyz
'x,y,z'
'-x,-y,-z'
'-x,y,-z'
'x,-y,z'
'x+1/2,y+1/2,z'
'-x+1/2,-y+1/2,-z'
'-x+1/2,y+1/2,-z'
'x+1/2,-y+1/2,z'
loop_
_atom_site_label
_atom_site_type_symbol
_atom_site_fract_x
_atom_site_fract_y
_atom_site_fract_z
_atom_site_occupancy
K1 K 0.100 0.000 0.413 1
Nb1 Nb 0.211 0.500 0.884 1
Cl1 Cl 0.067 0.500 0.681 1
Cl2 Cl 0.133 0.000 0.999 1
Cl3 Cl 0.238 0.500 0.303 1
```

---

Below is crystalline KNb3Cl at its relaxed geometry, with properties calculated at the PBE-GGA level.

N(E_F): 10.17 states/eV per cell
ΔE to the lowest computed polymorph: 1704 meV per atom
formation energy from raw total energies: 2.8721 eV/atom
energy: -3.76 eV per atom

Cell and atoms, written as CIF:
```
data_KNb3Cl
_cell_length_a 4.794
_cell_length_b 4.794
_cell_length_c 4.794
_cell_angle_alpha 90.00
_cell_angle_beta 90.00
_cell_angle_gamma 90.00
_symmetry_space_group_name_H-M 'P m -3 m'
_symmetry_Int_Tables_number 221
_symmetry_space_group_name_Hall '-P 4 2 3'
loop_
_atom_site_label
_atom_site_type_symbol
_atom_site_fract_x
_atom_site_fract_y
_atom_site_fract_z
_atom_site_occupancy
K1 K 0.000 0.000 0.000 1
Nb1 Nb 0.000 0.000 0.500 1
Cl1 Cl 0.500 0.500 0.500 1
```

---

Below is crystalline KNb4Cl7 at its relaxed geometry, with properties calculated at the PBE-GGA level.

N(E_F): 7.24 states/eV per cell
formation energy from raw total energies: -0.7801 eV/atom
energy: -5.31 eV per atom

Cell and atoms, written as CIF:
```
data_KNb4Cl7
_cell_length_a 5.885
_cell_length_b 6.029
_cell_length_c 16.948
_cell_angle_alpha 90.00
_cell_angle_beta 110.28
_cell_angle_gamma 90.00
_symmetry_space_group_name_H-M 'P 1 c 1'
_symmetry_Int_Tables_number 7
loop_
_symmetry_equiv_pos_as_xyz
'x,y,z'
'x,-y,z+1/2'
loop_
_atom_site_label
_atom_site_type_symbol
_atom_site_fract_x
_atom_site_fract_y
_atom_site_fract_z
_atom_site_occupancy
K1 K 0.000 0.204 0.000 1
Nb1 Nb 0.205 0.394 0.761 1
Nb2 Nb 0.217 0.270 0.345 1
Nb3 Nb 0.526 0.269 0.655 1
Nb4 Nb 0.682 0.395 0.239 1
Cl1 Cl 0.086 0.324 0.602 1
Cl2 Cl 0.273 0.197 0.208 1
Cl3 Cl 0.427 0.129 0.879 1
Cl4 Cl 0.476 0.371 0.500 1
Cl5 Cl 0.670 0.129 0.122 1
Cl6 Cl 0.856 0.198 0.792 1
Cl7 Cl 0.883 0.324 0.398 1
```

---

Below is crystalline K3NbCl7 at its relaxed geometry, with properties calculated at the PBE-GGA level.

N(E_F): 11.04 states/eV per cell
formation energy from raw total energies: -1.5743 eV/atom
energy: -3.96 eV per atom

Cell and atoms, written as CIF:
```
data_K3NbCl7
_cell_length_a 10.523
_cell_length_b 10.080
_cell_length_c 7.872
_cell_angle_alpha 90.00
_cell_angle_beta 126.40
_cell_angle_gamma 90.00
_symmetry_space_group_name_H-M 'C 1 m 1'
_symmetry_Int_Tables_number 8
loop_
_symmetry_equiv_pos_as_xyz
'x,y,z'
'x,-y,z'
'x+1/2,y+1/2,z'
'x+1/2,-y+1/2,z'
loop_
_atom_site_label
_atom_site_type_symbol
_atom_site_fract_x
_atom_site_fract_y
_atom_site_fract_z
_atom_site_occupancy
K1 K 0.000 0.000 0.000 1
K2 K 0.003 0.270 0.573 1
Nb1 Nb 0.048 0.500 0.125 1
Cl1 Cl 0.116 0.265 0.266 1
Cl2 Cl 0.200 0.500 0.980 1
Cl3 Cl 0.332 0.500 0.506 1
Cl4 Cl 0.352 0.152 0.819 1
Cl5 Cl 0.375 0.000 0.244 1
```